First-principles (GGA-PBE) data for crystalline BeHgIr2 at its relaxed geometry, as listed in Alexandria via LeMat-Bulk.

It has space group Cmmm (No. 65), with a = 2.9043 Å, b = 4.7763 Å, c = 8.5253 Å, α = 90.00°, β = 90.00° and γ = 90.00°. The asymmetric unit holds Be at (0.0000, 0.0000, 0.0000), Hg at (0.0000, 0.0000, 0.5000) and Ir at (0.0000, 0.5000, 0.2032).

For the calculated total energy, the calculation gives -5.296 eV/atom. The crystal system is orthorhombic. The value obtained for the polymorph energy (0 for the lowest one) is 0.254 eV/f.u.

=====

First-principles (GGA-PBE) data for crystalline BeHgIr3 at its relaxed geometry, as listed in Alexandria via LeMat-Bulk.

It has space group Pm-3m (No. 221), with a = 4.9183 Å, b = 4.9183 Å, c = 4.9183 Å, α = 90.00°, β = 90.00° and γ = 90.00°. The asymmetric unit holds Be at (0.0000, 0.0000, 0.0000), Hg at (0.5000, 0.5000, 0.5000) and Ir at (0.0000, 0.5000, 0.5000).

For the calculated total energy, the calculation gives -3.368 eV/atom. The crystal system is cubic. The value obtained for the polymorph energy (0 for the lowest one) is 11.308 eV/f.u.

=====

First-principles (GGA-PBE) data for crystalline KBeHg2Ir at its relaxed geometry, as listed in Alexandria via LeMat-Bulk.

It has space group P4/mmm (No. 123), with a = 4.6885 Å, b = 4.6885 Å, c = 5.3652 Å, α = 90.00°, β = 90.00° and γ = 90.00°. The asymmetric unit holds K at (0.0000, 0.0000, 0.0000), Be at (0.0000, 0.0000, 0.5000), Hg at (0.0000, 0.5000, 0.5000) and Ir at (0.5000, 0.5000, 0.0000).

For the calculated total energy, the calculation gives -1.819 eV/atom. The crystal system is tetragonal.

=====

First-principles (GGA-PBE) data for crystalline La2BeHgIr at its relaxed geometry, as listed in Alexandria via LeMat-Bulk.

It has space group P4/mmm (No. 123), with a = 5.5768 Å, b = 5.5768 Å, c = 4.4192 Å, α = 90.00°, β = 90.00° and γ = 90.00°. The asymmetric unit holds La at (0.0000, 0.5000, 0.0000), Be at (0.0000, 0.0000, 0.5000), Hg at (0.5000, 0.5000, 0.5000) and Ir at (0.0000, 0.0000, 0.0000).

For the calculated total energy, the calculation gives -4.939 eV/atom. The crystal system is tetragonal. The value obtained for the polymorph energy (0 for the lowest one) is 0.000 eV/f.u.

=====

First-principles (GGA-PBE) data for crystalline La2BeHgIr at its relaxed geometry, as listed in Alexandria via LeMat-Bulk.

It has space group P4/mmm (No. 123), with a = 5.7907 Å, b = 5.7907 Å, c = 4.2605 Å, α = 90.00°, β = 90.00° and γ = 90.00°. The asymmetric unit holds La at (0.0000, 0.5000, 0.0000), Be at (0.0000, 0.0000, 0.5000), Hg at (0.0000, 0.0000, 0.0000) and Ir at (0.5000, 0.5000, 0.5000).

For the calculated total energy, the calculation gives -4.040 eV/atom. The crystal system is tetragonal. The value obtained for the polymorph energy (0 for the lowest one) is 4.498 eV/f.u.

=====

First-principles (GGA-PBE) data for crystalline BeTc2HgIr at its relaxed geometry, as listed in Alexandria via LeMat-Bulk.

It has space group P4/mmm (No. 123), with a = 4.9683 Å, b = 4.9683 Å, c = 4.0771 Å, α = 90.00°, β = 90.00° and γ = 90.00°. The asymmetric unit holds Be at (0.0000, 0.0000, 0.0000), Tc at (0.0000, 0.5000, 0.5000), Hg at (0.0000, 0.0000, 0.5000) and Ir at (0.5000, 0.5000, 0.0000).

For the calculated total energy, the calculation gives -4.466 eV/atom. The crystal system is tetragonal.

=====

First-principles (GGA-PBE) data for crystalline KBeHg2 at its relaxed geometry, as listed in Alexandria via LeMat-Bulk.

It has space group Immm (No. 71), with a = 3.8983 Å, b = 6.0942 Å, c = 9.0945 Å, α = 90.00°, β = 90.00° and γ = 90.00°. The asymmetric unit holds K at (0.0000, 0.0000, 0.0000), Be at (0.0000, 0.0000, 0.5000) and Hg at (0.0000, 0.5000, 0.1770).

For the calculated total energy, the calculation gives -1.084 eV/atom. The crystal system is orthorhombic.

=====

First-principles (GGA-PBE) data for crystalline KBeHg2 at its relaxed geometry, as listed in Alexandria via LeMat-Bulk.

It has space group I-4m2 (No. 119), with a = 4.8631 Å, b = 4.8631 Å, c = 9.0369 Å, α = 90.00°, β = 90.00° and γ = 90.00°. The asymmetric unit holds K at (0.0000, 0.0000, 0.0000), Be at (0.0000, 0.5000, 0.7500), Hg at (0.0000, 0.0000, 0.5000) and Hg at (0.0000, 0.5000, 0.2500).

For the calculated total energy, the calculation gives -0.901 eV/atom. The crystal system is tetragonal.

=====

First-principles (GGA-PBE) data for crystalline KBeHg2 at its relaxed geometry, as listed in Alexandria via LeMat-Bulk.

It has space group P4/mmm (No. 123), with a = 3.3366 Å, b = 3.3366 Å, c = 8.3473 Å, α = 90.00°, β = 90.00° and γ = 90.00°. The asymmetric unit holds K at (0.0000, 0.0000, 0.0000), Be at (0.0000, 0.0000, 0.5000) and Hg at (0.5000, 0.5000, 0.3196).

For the calculated total energy, the calculation gives -1.110 eV/atom. The crystal system is tetragonal.

=====

First-principles (GGA-PBE) data for crystalline KBeHg2 at its relaxed geometry, as listed in Alexandria via LeMat-Bulk.

It has space group P2/m (No. 10), with a = 4.0218 Å, b = 3.6058 Å, c = 7.4906 Å, α = 90.00°, β = 102.85° and γ = 90.00°. The asymmetric unit holds K at (0.0000, 0.0000, 0.0000), Be at (0.0000, 0.0000, 0.5000) and Hg at (0.3577, 0.5000, 0.6749).

For the calculated total energy, the calculation gives -1.099 eV/atom. The crystal system is monoclinic.

=====

First-principles (GGA-PBE) data for crystalline KBeHg2 at its relaxed geometry, as listed in Alexandria via LeMat-Bulk.

It has space group F-43m (No. 216), with a = 7.4960 Å, b = 7.4960 Å, c = 7.4960 Å, α = 90.00°, β = 90.00° and γ = 90.00°. The asymmetric unit holds K at (0.0000, 0.0000, 0.0000), Be at (0.2500, 0.2500, 0.2500), Hg at (0.0000, 0.0000, 0.5000) and Hg at (0.2500, 0.2500, 0.7500).

For the calculated total energy, the calculation gives -0.900 eV/atom. The crystal system is cubic.

=====

First-principles (GGA-PBE) data for crystalline KBe3Hg at its relaxed geometry, as listed in Alexandria via LeMat-Bulk.

It has space group Pm-3m (No. 221), with a = 4.6458 Å, b = 4.6458 Å, c = 4.6458 Å, α = 90.00°, β = 90.00° and γ = 90.00°. The asymmetric unit holds K at (0.0000, 0.0000, 0.0000), Be at (0.0000, 0.5000, 0.5000) and Hg at (0.5000, 0.5000, 0.5000).

For the calculated total energy, the calculation gives -1.743 eV/atom. The crystal system is cubic. The value obtained for the polymorph energy (0 for the lowest one) is 0.000 eV/f.u.

=====

First-principles (GGA-PBE) data for crystalline KBe4Hg at its relaxed geometry, as listed in Alexandria via LeMat-Bulk.

It has space group F-43m (No. 216), with a = 7.0513 Å, b = 7.0513 Å, c = 7.0513 Å, α = 90.00°, β = 90.00° and γ = 90.00°. The asymmetric unit holds K at (0.0000, 0.0000, 0.0000), Be at (0.1176, 0.1176, 0.6176) and Hg at (0.2500, 0.2500, 0.2500).

For the calculated total energy, the calculation gives -2.019 eV/atom. The crystal system is cubic.

=====

First-principles (GGA-PBE) data for crystalline KBeHg2 at its relaxed geometry, as listed in Alexandria via LeMat-Bulk.

It has space group Cm (No. 8), with a = 7.8394 Å, b = 4.5172 Å, c = 6.8132 Å, α = 90.00°, β = 112.50° and γ = 90.00°. The asymmetric unit holds K at (0.0000, 0.0000, 0.0000), Be at (0.1809, 0.0000, 0.5416), Hg at (0.0369, 0.5000, 0.6092) and Hg at (0.3040, 0.5000, 0.4112).

For the calculated total energy, the calculation gives -1.196 eV/atom. The crystal system is monoclinic.

=====

First-principles (GGA-PBE) data for crystalline KBeHg2 at its relaxed geometry, as listed in Alexandria via LeMat-Bulk.

It has space group Cmm2 (No. 35), with a = 5.0527 Å, b = 5.0663 Å, c = 8.3254 Å, α = 90.00°, β = 90.00° and γ = 90.00°. The asymmetric unit holds K at (0.0000, 0.0000, 0.0000), Be at (0.0000, 0.5000, 0.6132), Hg at (0.0000, 0.0000, 0.6043) and Hg at (0.0000, 0.5000, 0.3015).

For the calculated total energy, the calculation gives -1.143 eV/atom. The crystal system is orthorhombic.